Record 1
Density functional theory data (PBE) for AcPd4 after structural relaxation.

The theoretical density is 7.459 g cm⁻³. Its density of states at the Fermi level is 2.18 states/eV/f.u. The energy above the most stable polymorph in this dataset comes out at 1479.5 meV per atom. The total DFT energy (no corrections) comes out at -4.0722 eV/atom. As for the formation energy: 4.5 eV/f.u.

It has space group Pm-3m (No. 221), with a = 5.257 Å, b = 5.257 Å, c = 5.257 Å, α = 90.00°, β = 90.00° and γ = 90.00°. The inequivalent atoms are Ac at (0.000, 0.000, 0.000), Pd at (0.000, 0.000, 0.500) and Pd at (0.500, 0.500, 0.500).

Record 2
Density functional theory data (PBE) for Rb2HoCd3F12 after structural relaxation.

The theoretical density is 4.009 g cm⁻³. Its density of states at the Fermi level is 10.89 states/eV/f.u. The total DFT energy (no corrections) comes out at -4.3748 eV/atom. The calculation puts the formation energy without anion corrections at -2612.9 meV per atom.

It has space group R-3m (No. 166, hexagonal axes), with a = 7.9599 Å, b = 7.9599 Å, c = 20.4056 Å, α = 90.00°, β = 90.00° and γ = 120.00°. The inequivalent atoms are Rb at (0.0000, 0.0000, 0.1023), Ho at (0.0000, 0.0000, 0.5000), Cd at (0.0000, 0.5000, 0.0000), F at (0.0526, 0.5263, 0.3569) and F at (0.0719, 0.5359, 0.1075).

Record 3
Density functional theory data (PBE) for MgNb3V after structural relaxation.

The theoretical density is 5.683 g cm⁻³. Its density of states at the Fermi level is 4.81 states/eV/f.u. The energy above the most stable polymorph in this dataset comes out at 0.0 meV per atom. The total DFT energy (no corrections) comes out at -7.3423 eV/atom. As for the formation energy: 4.2 eV/f.u.

It has space group Pm-3m (No. 221), with a = 4.694 Å, b = 4.694 Å, c = 4.694 Å, α = 90.00°, β = 90.00° and γ = 90.00°. The inequivalent atoms are Mg at (0.000, 0.000, 0.000), Nb at (0.000, 0.500, 0.500) and V at (0.500, 0.500, 0.500).

Record 4
Density functional theory data (PBE) for Tb2PmDyY5 after structural relaxation.

The theoretical density is 6.020 g cm⁻³. Its density of states at the Fermi level is 11.52 states/eV/f.u. The total DFT energy (no corrections) comes out at -5.3874 eV/atom. As for the formation energy: 2.4 eV/f.u.

It has space group I4/mcm (No. 140), with a = 8.865 Å, b = 8.865 Å, c = 15.022 Å, α = 90.00°, β = 90.00° and γ = 90.00°. The inequivalent atoms are Tb at (0.114, 0.386, 0.000), Pm at (0.000, 0.000, 0.250), Dy at (0.000, 0.500, 0.250), Y at (0.000, 0.000, 0.000) and Y at (0.206, 0.294, 0.366).

Record 5
Density functional theory data (PBE) for Ta2AgPt2 after structural relaxation.

The theoretical density is 16.161 g cm⁻³. Its density of states at the Fermi level is 3.45 states/eV/f.u. The energy above the most stable polymorph in this dataset comes out at 0.0 meV per atom. The total DFT energy (no corrections) comes out at -8.0903 eV/atom. As for the formation energy: -1.8 eV/f.u.

It has space group P4/mbm (No. 127), with a = 7.894 Å, b = 7.894 Å, c = 2.836 Å, α = 90.00°, β = 90.00° and γ = 90.00°. The inequivalent atoms are Ta at (0.167, 0.333, 0.000), Ag at (0.000, 0.000, 0.500) and Pt at (0.128, 0.628, 0.500).

Record 6
Density functional theory data (PBE) for AgWAu2 after structural relaxation.

The theoretical density is 16.351 g cm⁻³. Its density of states at the Fermi level is 2.90 states/eV/f.u. The energy above the most stable polymorph in this dataset comes out at 222.3 meV per atom. The total DFT energy (no corrections) comes out at -5.1380 eV/atom. As for the formation energy: 1.8 eV/f.u.

It has space group C2/m (No. 12), with a = 9.310 Å, b = 2.767 Å, c = 5.444 Å, α = 90.00°, β = 96.82° and γ = 90.00°. The inequivalent atoms are Ag at (0.000, 0.000, 0.000), W at (0.000, 0.500, 0.500) and Au at (0.247, 0.000, 0.739).

Record 7
Density functional theory data (PBE) for InGeCl2 after structural relaxation.

The theoretical density is 4.449 g cm⁻³. Its density of states at the Fermi level is 2.53 states/eV/f.u. The energy above the most stable polymorph in this dataset comes out at 52.6 meV per atom. The total DFT energy (no corrections) comes out at -2.9657 eV/atom. The calculation puts the formation energy without anion corrections at -203.4 meV per atom.

It has space group Fm-3m (No. 225), with a = 7.280 Å, b = 7.280 Å, c = 7.280 Å, α = 90.00°, β = 90.00° and γ = 90.00°. The inequivalent atoms are In at (0.000, 0.000, 0.000), Ge at (0.000, 0.000, 0.500) and Cl at (0.250, 0.250, 0.250).

Record 8
Density functional theory data (PBE) for PmSi3PtRh after structural relaxation.

The theoretical density is 7.393 g cm⁻³. Its density of states at the Fermi level is 2.29 states/eV/f.u. The total DFT energy (no corrections) comes out at -6.3596 eV/atom. The calculation puts the formation energy without anion corrections at -624.3 meV per atom.

It has space group Cmcm (No. 63), with a = 6.267 Å, b = 13.384 Å, c = 5.647 Å, α = 90.00°, β = 90.00° and γ = 90.00°. The inequivalent atoms are Pm at (0.000, 0.217, 0.250), Si at (0.000, 0.221, 0.750), Si at (0.212, 0.500, 0.000), Pt at (0.000, 0.390, 0.750) and Rh at (0.000, 0.053, 0.750).

Record 9
Density functional theory data (PBE) for NiB3C after structural relaxation.

The theoretical density is 3.345 g cm⁻³. Its density of states at the Fermi level is 2.94 states/eV/f.u. The energy above the most stable polymorph in this dataset comes out at 614.0 meV per atom. The total DFT energy (no corrections) comes out at -4.8465 eV/atom. As for the formation energy: 10.8 eV/f.u.

It has space group Pm-3m (No. 221), with a = 3.713 Å, b = 3.713 Å, c = 3.713 Å, α = 90.00°, β = 90.00° and γ = 90.00°. The inequivalent atoms are Ni at (0.000, 0.000, 0.000), B at (0.000, 0.000, 0.500) and C at (0.500, 0.500, 0.500).

Record 10
Density functional theory data (PBE) for YThAg2 after structural relaxation.

The theoretical density is 8.873 g cm⁻³. Its density of states at the Fermi level is 4.04 states/eV/f.u. The energy above the most stable polymorph in this dataset comes out at 0.0 meV per atom. The total DFT energy (no corrections) comes out at -5.0719 eV/atom. As for the formation energy: -0.7 eV/f.u.

It has space group P4/mmm (No. 123), with a = 3.587 Å, b = 3.587 Å, c = 7.807 Å, α = 90.00°, β = 90.00° and γ = 90.00°. The inequivalent atoms are Y at (0.000, 0.000, 0.000), Th at (0.000, 0.000, 0.500) and Ag at (0.500, 0.500, 0.231).

Record 11
Density functional theory data (PBE) for NbPdSe4 after structural relaxation.

The theoretical density is 6.587 g cm⁻³. Its density of states at the Fermi level is 4.34 states/eV/f.u. The energy above the most stable polymorph in this dataset comes out at 0.0 meV per atom. The total DFT energy (no corrections) comes out at -5.2573 eV/atom. The calculation puts the formation energy without anion corrections at -390.5 meV per atom.

It has space group C2/c (No. 15), with a = 8.376 Å, b = 14.373 Å, c = 5.754 Å, α = 90.00°, β = 131.42° and γ = 90.00°. The inequivalent atoms are Nb at (0.000, 0.050, 0.250), Pd at (0.000, 0.309, 0.750), Se at (0.190, 0.202, 0.242) and Se at (0.220, 0.444, 0.158).

Record 12
Density functional theory data (PBE) for TbPr3Ga4 after structural relaxation.

The theoretical density is 6.411 g cm⁻³. Its density of states at the Fermi level is 6.91 states/eV/f.u. The energy above the most stable polymorph in this dataset comes out at 133.9 meV per atom. The total DFT energy (no corrections) comes out at -4.3089 eV/atom. As for the formation energy: -3.4 eV/f.u.

It has space group Immm (No. 71), with a = 3.795 Å, b = 6.892 Å, c = 17.045 Å, α = 90.00°, β = 90.00° and γ = 90.00°. The inequivalent atoms are Tb at (0.000, 0.000, 0.000), Pr at (0.000, 0.000, 0.500), Pr at (0.000, 0.500, 0.298) and Ga at (0.000, 0.307, 0.128).